Below is Ga2TePb2 at its PBEsol-relaxed geometry, with properties calculated at the meta-GGA SCAN level.

Computed properties:
* symmetry: I4/mmm
* ΔE_f (raw): 1.26 kcal/mol of atoms
* crystal system: tetragonal
* uncorrected energy: -44.247 eV/atom
* size of the total moment: 0.0000 μB/atom

a = 3.8797 Å, b = 3.8797 Å, c = 17.1797 Å
α = 90.00°, β = 90.00°, γ = 90.00°
Fractional coordinates of all 10 atoms:
1 Ga 0.0000 0.5000 0.2500
2 Ga 0.0000 0.5000 0.7500
3 Ga 0.5000 0.0000 0.2500
4 Ga 0.5000 0.0000 0.7500
5 Te 0.0000 0.0000 0.0000
6 Te 0.5000 0.5000 0.5000
7 Pb 0.0000 0.0000 0.3926
8 Pb 0.0000 0.0000 0.6074
9 Pb 0.5000 0.5000 0.1074
10 Pb 0.5000 0.5000 0.8926